{"formula": "BaRhSe2F", "functional": "PBE-GGA", "state": "relaxed", "cell": [[5.052, 0.000, 0.000], [0.000, 5.052, 0.000], [0.000, 0.000, 4.840]], "species": ["Ba", "Rh", "Se", "Se", "F"], "frac_coords": [[0.000, 0.000, 0.000], [0.500, 0.500, 0.000], [0.000, 0.500, 0.500], [0.500, 0.000, 0.500], [0.000, 0.000, 0.500]], "magmom_total_mub_per_fu": 1.8, "raw_formation_energy_ev_per_atom": -0.27, "volume_a3_per_cell": 123.5, "dft_energy_ev_per_atom": -3.89, "density_g_cm3": 5.61}